Below is BaSrMg17 after structural relaxation, with properties calculated at the GGA-PBE level.

Cell: 10.5888 10.5888 15.4773 Å, 90.00 90.00 120.00°
Space group R3m (No. 160, hexagonal axes)
Asymmetric unit:
Ba 0.0000 0.0000 0.0000 x3
Sr 0.0000 0.0000 0.6757 x3
Mg 0.0000 0.0000 0.2404 x3
Mg 0.0000 0.0000 0.4381 x3
Mg 0.0010 0.2943 0.3387 x18
Mg 0.0008 0.5004 0.8384 x9
Mg 0.0011 0.5005 0.1866 x9
Mg 0.0030 0.5015 0.4910 x9

calculated density	2.12	g/cm3
N(E_F)	27.178	states/eV/cell
E_form	-1.44	kcal/mol of atoms
final energy	-95.69	eV per cell

---

Below is Ba3Sr6Mg2 after structural relaxation, with properties calculated at the GGA-PBE level.

Cell: 5.758 5.758 35.822 Å, 90.00 90.00 90.00°
Space group I4/mmm (No. 139)
Asymmetric unit:
Ba 0.000 0.000 0.000 x2
Ba 0.000 0.000 0.201 x4
Sr 0.000 0.000 0.317 x4
Sr 0.000 0.500 0.100 x8
Mg 0.000 0.000 0.459 x4

calculated density	2.76	g/cm3
N(E_F)	30.082	states/eV/cell
E_form	2.51	kcal/mol of atoms
final energy	-35.70	eV per cell